Entry from the Alexandria database: crystalline LaSc3 at its relaxed geometry (PBE).

Cell and atoms, written as CIF:
```
data_LaSc3
_cell_length_a 5.405
_cell_length_b 6.923
_cell_length_c 5.871
_cell_angle_alpha 90.00
_cell_angle_beta 90.00
_cell_angle_gamma 90.00
_space_group_name_H-M_alt 'P 1'
_space_group_IT_number 1
_space_group_name_Hall 'P 1'
loop_
_atom_site_label
_atom_site_type_symbol
_atom_site_fract_x
_atom_site_fract_y
_atom_site_fract_z
La1 La 0.250 0.250 0.173
La2 La 0.750 0.750 0.827
Sc1 Sc 0.250 0.501 0.665
Sc2 Sc 0.250 0.750 0.180
Sc3 Sc 0.250 0.999 0.665
Sc4 Sc 0.750 0.001 0.335
Sc5 Sc 0.750 0.250 0.820
Sc6 Sc 0.750 0.499 0.335
```

Properties
* DFT total energy: -5.92 eV/atom
* size of the total moment: 0.0 μB per cell
* calculated density: 4.14 g/cm³